## MgIrOF2 (PBE-GGA)

Data for MgIrOF2 after structural relaxation.

Cell: 3.6409 3.6409 4.6327 Å, 90.00 90.00 90.00°
With the nearest neighbours (Å) after each atom.
Space group P4/mmm (No. 123)
Symmetry-distinct sites (fractional):
Mg (0.0000, 0.0000, 0.0000) x1  4 F 1.82
Ir (0.5000, 0.5000, 0.5000) x1  4 O 2.57
O (0.0000, 0.0000, 0.5000) x1  2 Mg 2.32, 4 Ir 2.57
F (0.0000, 0.5000, 0.0000) x2  2 Mg 1.82

For the formation energy (no corrections), the calculation gives -1.062 eV per atom.